A plane-wave DFT calculation with PBE was carried out for a relaxed structure of Ca2OsPb.

Space group ... Cmmm (65)
Energy ... -17.7 eV per formula unit

a = 5.5689 Å, b = 5.5689 Å, c = 3.1833 Å
α = 90.00°, β = 90.00°, γ = 106.44°
Sites, in units of the cell vectors:
Ca1 0.0000 0.5000 0.0000
Ca2 0.5000 0.0000 0.0000
Os1 0.0000 0.0000 0.5000
Pb1 0.5000 0.5000 0.5000

=====

A plane-wave DFT calculation with PBE was carried out for a relaxed structure of CeEr7Tm2.

Space group ... Cmmm (65)
Energy ... -39.4 eV per formula unit

a = 9.2156 Å, b = 9.2156 Å, c = 5.4457 Å
α = 90.00°, β = 90.00°, γ = 123.90°
Sites, in units of the cell vectors:
Ce1 0.0000 0.0000 0.0000
Er1 0.0637 0.2894 0.5000
Er2 0.2074 0.7926 0.0000
Er3 0.2894 0.0637 0.5000
Er4 0.5000 0.5000 0.5000
Er5 0.7106 0.9363 0.5000
Er6 0.7926 0.2074 0.0000
Er7 0.9363 0.7106 0.5000
Tm1 0.2969 0.7031 0.5000
Tm2 0.7031 0.2969 0.5000

=====

A plane-wave DFT calculation with PBE was carried out for a relaxed structure of FeSi2Os.

Space group ... R3m (160)
E_form (uncorrected) ... 44 meV per atom
Energy ... -30.4 eV per formula unit

a = 7.7458 Å, b = 7.7458 Å, c = 7.7458 Å
α = 21.10°, β = 21.10°, γ = 21.10°
Sites, in units of the cell vectors:
Fe1 0.0000 0.0000 0.0000
Si1 0.4956 0.4956 0.4956
Si2 0.7409 0.7409 0.7409
Os1 0.2421 0.2421 0.2421

=====

A plane-wave DFT calculation with PBE was carried out for a relaxed structure of Sc2CdW.

Space group ... C2/m (12)
Energy ... -25.5 eV per formula unit

a = 5.0447 Å, b = 5.0447 Å, c = 5.7030 Å
α = 97.49°, β = 97.49°, γ = 34.14°
Sites, in units of the cell vectors:
Sc1 0.2451 0.2451 0.2338
Sc2 0.7549 0.7549 0.7662
Cd1 0.0000 0.0000 0.5000
W1 0.5000 0.5000 0.0000

=====

A plane-wave DFT calculation with PBE was carried out for a relaxed structure of CaAu.

Space group ... Immm (71)
Energy ... -6.5 eV per formula unit

a = 5.7657 Å, b = 5.7657 Å, c = 5.7657 Å
α = 136.01°, β = 122.46°, γ = 75.15°
Sites, in units of the cell vectors:
Ca1 0.1918 0.1918 0.0000
Ca2 0.8082 0.8082 0.0000
Au1 0.2532 0.5000 0.7532
Au2 0.7468 0.5000 0.2468

=====

A plane-wave DFT calculation with PBE was carried out for a relaxed structure of ScNiPdI2.

Space group ... P4/mmm (123)
E_form (uncorrected) ... 503 meV per atom
Energy ... -17.9 eV per formula unit

a = 5.5917 Å, b = 5.5917 Å, c = 4.9899 Å
α = 90.00°, β = 90.00°, γ = 90.00°
Sites, in units of the cell vectors:
Sc1 0.0000 0.0000 0.0000
Ni1 0.5000 0.5000 0.5000
Pd1 0.0000 0.0000 0.5000
I1 0.0000 0.5000 0.0000
I2 0.5000 0.0000 0.0000

=====

A plane-wave DFT calculation with PBE was carried out for a relaxed structure of La3GeTeI.

Space group ... P2_1/m (11)
E_form (uncorrected) ... -1127 meV per atom
Energy ... -30.9 eV per formula unit

a = 7.8230 Å, b = 4.3007 Å, c = 12.3575 Å
α = 90.00°, β = 102.62°, γ = 90.00°
Sites, in units of the cell vectors:
La1 0.0470 0.2500 0.1453
La2 0.1994 0.7500 0.5073
La3 0.4523 0.7500 0.8609
La4 0.5477 0.2500 0.1391
La5 0.8006 0.2500 0.4927
La6 0.9530 0.7500 0.8547
Ge1 0.2678 0.7500 0.0592
Ge2 0.7322 0.2500 0.9408
Te1 0.1505 0.2500 0.7005
Te2 0.8495 0.7500 0.2995
I1 0.3784 0.2500 0.3643
I2 0.6216 0.7500 0.6357

=====

A plane-wave DFT calculation with PBE was carried out for a relaxed structure of ICl2F.

Energy relative to the lowest polymorph listed for this composition ... 0.490 eV per atom
Space group ... R-3m (166)
E_form (uncorrected) ... 221 meV per atom
Energy ... -6.2 eV per formula unit

a = 8.9159 Å, b = 8.9159 Å, c = 8.9159 Å
α = 23.80°, β = 23.80°, γ = 23.80°
Sites, in units of the cell vectors:
I1 0.0000 0.0000 0.0000
Cl1 0.4218 0.4218 0.4218
Cl2 0.5782 0.5782 0.5782
F1 0.5000 0.5000 0.5000